No. 1
The following is a DFT calculation (PBE) of an optimized crystal structure of Ba6Hg2Pt.

Properties
Energy (eV per atom): -2.469
Space group: P2_1/c
Total moment (μB per cell): 0.486

a b c (Å): 8.0252 8.9561 11.9351
angles (deg): 90.00 91.21 90.00
Fractional positions:
Ba: 0.8605 0.9661 0.2546
Ba: 0.8359 0.6914 0.5671
Ba: 0.8218 0.6739 0.9370
Ba: 0.6782 0.1739 0.5630
Ba: 0.6641 0.1914 0.9329
Ba: 0.6395 0.4661 0.2454
Ba: 0.1395 0.0339 0.7454
Ba: 0.1641 0.3086 0.4329
Ba: 0.1782 0.3261 0.0630
Ba: 0.3218 0.8261 0.4370
Ba: 0.3359 0.8086 0.0671
Ba: 0.3605 0.5339 0.7546
Hg: 0.9482 0.3845 0.7534
Hg: 0.5518 0.8845 0.7466
Hg: 0.4482 0.1155 0.2534
Hg: 0.0518 0.6155 0.2466
Pt: 0.5000 0.5000 0.0000
Pt: 0.0000 0.0000 0.5000



No. 2
The following is a DFT calculation (PBE) of an optimized crystal structure of NpPd2Pt3.

Properties
Energy (eV per atom): -7.164
Space group: Cmcm
Total moment (μB per cell): 5.462

a b c (Å): 5.6301 7.3482 7.3482
angles (deg): 44.74 90.00 90.00
Site moments in Bohr magnetons follow the coordinates.
Fractional positions:
Np: 0.2500 0.2900 0.7100  3.11
Np: 0.7500 0.7100 0.2900  3.11
Pd: 0.0000 0.1571 0.1571  -0.08
Pd: 0.5000 0.1571 0.1571  -0.08
Pd: 0.0000 0.8429 0.8429  -0.08
Pd: 0.5000 0.8429 0.8429  -0.08
Pt: 0.7500 0.2036 0.7964  -0.11
Pt: 0.7500 0.2903 0.3700  -0.12
Pt: 0.2500 0.3700 0.2903  -0.12
Pt: 0.7500 0.6300 0.7097  -0.12
Pt: 0.2500 0.7097 0.6300  -0.12
Pt: 0.2500 0.7964 0.2036  -0.11